TiNbNi3: optimized geometry, GGA-PBE.

Cell: 4.262 4.262 4.262 Å, 90.00 90.00 90.00°
Fractional coordinates of all 5 atoms:
1 Ti 0.000 0.000 0.000
2 Ni 0.000 0.000 0.500
3 Ni 0.000 0.500 0.000
4 Ni 0.500 0.000 0.000
5 Nb 0.500 0.500 0.500

For the total magnetization, the calculation gives 0.000 μB per atom. The calculation puts the energy above the most stable polymorph in this dataset at 920 meV per atom. Its total DFT energy (no corrections) is -6.30 eV per atom. The formation energy comes out at 3.8 eV per formula unit.